Computed, not measured: a relaxed structure of MnZn2Fe at the PBE level of DFT.

Its total moment is 5.16 μB/f.u. The value obtained for the total energy is -20.08 eV/f.u. As for the energy above the most stable polymorph in this dataset: 11 meV per atom.

The structure belongs to space group P2/m (No. 10); the cell edges are 2.6652, 3.6748 and 5.3173 Å and the angles 90.00°, 90.16° and 90.00°. Symmetry generates all atoms from Mn at (0.0000, 0.0000, 0.0000), Zn at (0.4995, 0.5000, 0.2538) and Fe at (0.0000, 0.0000, 0.5000).